# 1
Ba2InBiO6 | GGA-PBE | optimized geometry

Geometry as POSCAR:
```
Ba2InBiO6
1.0
-1.344 -1.713 5.676
-2.747 -5.331 0.996
3.064 -4.558 2.606
In Bi O Ba
1 1 6 2
Cartesian
-0.514 -5.801 4.639 In
0.000 0.000 0.000 Bi
-1.640 -5.564 2.803 O
1.289 -5.175 3.614 O
-0.932 -3.740 5.162 O
-0.095 -7.861 4.116 O
-2.317 -6.427 5.664 O
0.612 -6.038 6.475 O
-0.771 -8.701 6.959 Ba
-0.257 -2.900 2.320 Ba
```

Results
**Formation energy without anion corrections**: -1865 meV/atom

---

# 2
TcAgMo2 | GGA-PBE | optimized geometry

Geometry as POSCAR:
```
TcAgMo2
1.0
-2.471 4.018 -1.185
-3.684 1.936 -2.517
-3.508 -0.233 3.558
Tc Ag Mo
1 1 2
Cartesian
-4.850 2.844 -0.029 Tc
-2.398 1.423 -0.040 Ag
-7.233 4.308 -0.147 Mo
-0.012 0.007 -0.001 Mo
```

Results
**ΔH_f (0 K)**: 0.46 eV per atom
**Distance to the lowest polymorph of the same formula**: 0.185 eV/atom

---

# 3
Tm4GaCo12B3 | GGA-PBE | optimized geometry

Geometry as POSCAR:
```
Tm4GaCo12B3
1.0
6.986 0.000 0.000
-2.329 6.586 0.000
-2.329 -3.293 5.704
Co Ga B Tm
12 1 3 4
Cartesian
1.271 1.797 0.000 Co
3.493 2.470 1.426 Co
-1.271 0.899 1.556 Co
3.386 -2.394 4.147 Co
1.271 -0.899 1.556 Co
-1.164 0.823 4.278 Co
-3.386 2.394 4.147 Co
1.164 -0.823 4.278 Co
1.164 4.116 1.426 Co
-1.164 3.293 2.852 Co
3.493 0.000 2.852 Co
3.386 4.789 0.000 Co
0.000 0.000 0.000 Ga
2.329 -1.647 2.852 B
2.329 3.293 0.000 B
-2.329 1.647 2.852 B
1.164 1.647 2.852 Tm
3.493 0.000 0.000 Tm
-1.164 -1.647 2.852 Tm
-1.164 3.293 0.000 Tm
```

Results
**ΔH_f (0 K)**: -0.21 eV per atom

---

# 4
CrNi2I | GGA-PBE | optimized geometry

Geometry as POSCAR:
```
CrNi2I
1.0
0.000 3.127 3.127
3.127 0.000 3.127
3.127 3.127 0.000
Cr Ni I
1 2 1
Cartesian
0.000 0.000 0.000 Cr
4.691 4.691 4.691 Ni
1.564 1.564 1.564 Ni
3.127 3.127 3.127 I
```

Results
**Distance to the lowest polymorph of the same formula**: 0.000 eV/atom
**Formation energy without anion corrections**: 696 meV/atom

---

# 5
Cs2ScHCl6 | GGA-PBE | optimized geometry

Geometry as POSCAR:
```
Cs2ScHCl6
1.0
-0.352 -6.579 -1.748
5.510 0.753 -3.942
6.064 -4.322 1.756
Cs Cl H Sc
2 6 1 1
Cartesian
4.146 -6.907 -1.419 Cs
7.076 -3.241 -2.516 Cs
3.791 -4.282 -4.182 Cl
1.202 -4.635 -2.330 Cl
3.956 -1.191 -3.361 Cl
1.367 -1.544 -1.509 Cl
4.617 -3.737 -0.155 Cl
6.605 -6.411 -3.780 Cl
2.579 -2.913 -2.845 H
0.000 0.000 0.000 Sc
```

Results
**Uncorrected energy**: -37.54 eV/cell

---

# 6
Ca5InAg4 | GGA-PBE | optimized geometry

Geometry as POSCAR:
```
Ca5InAg4
1.0
3.749 0.000 0.000
0.000 3.749 0.000
0.000 0.000 18.656
In Ca Ag
1 5 4
Cartesian
0.000 0.000 0.000 In
1.875 1.875 2.005 Ca
1.875 1.875 12.974 Ca
1.875 1.875 16.651 Ca
1.875 1.875 9.328 Ca
1.875 1.875 5.682 Ca
0.000 0.000 14.814 Ag
0.000 0.000 11.156 Ag
0.000 0.000 3.841 Ag
0.000 0.000 7.500 Ag
```

Results
**ΔH_f (0 K)**: -0.34 eV per atom

---

# 7
SrLiZnBi2 | GGA-PBE | optimized geometry

Geometry as POSCAR:
```
SrLiZnBi2
1.0
4.518 0.000 0.000
0.000 4.518 0.000
-2.259 -2.259 6.909
Sr Zn Bi Li
1 1 2 1
Cartesian
0.000 0.000 0.000 Sr
0.000 2.259 3.455 Zn
2.259 2.259 1.694 Bi
0.000 0.000 5.215 Bi
2.259 0.000 3.455 Li
```

Results
**ΔH_f (0 K)**: -0.47 eV per atom

---

# 8
Y4AlTc | GGA-PBE | optimized geometry

Geometry as POSCAR:
```
Y4AlTc
1.0
-2.659 -5.014 2.528
7.277 -2.458 -0.312
-1.150 5.038 5.690
Tc Y Al
2 8 2
Cartesian
-3.135 1.270 7.580 Tc
6.603 -3.703 0.326 Tc
-0.506 1.300 6.618 Y
-2.904 -1.305 6.505 Y
1.303 -2.077 6.562 Y
2.164 -0.357 1.344 Y
3.959 -0.749 4.354 Y
-0.491 -1.684 3.553 Y
3.974 -3.734 1.289 Y
6.372 -1.128 1.401 Y
2.125 -3.410 3.833 Al
1.343 0.976 4.073 Al
```

Results
**ΔH_f (0 K)**: -0.18 eV per atom
**Distance to the lowest polymorph of the same formula**: 0.000 eV/atom

---

Table of M_tot (μB/cell), in record order: 0.0; 0.0; 4.1; 4.1; 0.0; 0.0; 0.0; 0.0